(1)
Below is a relaxed structure of La2Fe, with properties calculated at the GGA-PBE level.

SG: No. 164
DFT formation energy: 1.47 eV per formula unit

extended XYZ file:
```
3
Lattice="-0.280 1.530 -4.993 -0.494 -5.062 1.215 -3.134 0.375 0.291" Properties=species:S:1:pos:R:3 pbc="T T T"
Fe 0.000 0.000 0.000
La -1.998 -2.676 -0.708
La -1.910 -0.481 -2.779
```

=====

(2)
Below is a relaxed structure of LaFe, with properties calculated at the GGA-PBE level.

SG: No. 216
DFT formation energy: 2.27 eV per formula unit

extended XYZ file:
```
2
Lattice="-3.884 -0.715 -0.972 -1.003 -0.908 -3.835 -1.197 -3.768 -0.951" Properties=species:S:1:pos:R:3 pbc="T T T"
Fe 0.000 0.000 0.000
La -4.563 -4.044 -4.319
```

=====

(3)
Below is a relaxed structure of La2Fe, with properties calculated at the GGA-PBE level.

SG: No. 164
DFT formation energy: 0.49 eV per formula unit

extended XYZ file:
```
3
Lattice="4.016 0.000 0.000 -2.008 3.478 0.000 0.000 0.000 6.393" Properties=species:S:1:pos:R:3 pbc="T T T"
Fe 0.000 0.000 0.000
La 2.008 1.159 4.920
La 0.000 2.319 1.473
```

=====

(4)
Below is a relaxed structure of La3Fe5, with properties calculated at the GGA-PBE level.

SG: No. 65
DFT formation energy: 4.16 eV per formula unit

extended XYZ file:
```
8
Lattice="0.602 5.070 -2.990 -4.520 -3.046 -2.300 -2.926 2.099 2.971" Properties=species:S:1:pos:R:3 pbc="T T T"
La -1.959 1.012 -2.645
La -2.170 4.045 -1.328
La -4.675 0.077 -0.991
Fe 0.000 0.000 0.000
Fe 0.301 2.535 -1.495
Fe -2.260 -1.523 -1.150
Fe -4.702 2.722 -2.887
Fe -2.143 1.401 0.568
```

=====

Q: Look up the DFT formation energy of the first one.
A: 1.47 eV per formula unit

=====

Q: Among the records above, which one has the highest DFT formation energy?
A: La3Fe5

=====

Q: Among the records above, which one has the lowest DFT formation energy?
A: number 3

=====

Q: Which value of DFT formation energy does entry 4 give?
A: 4.16 eV per formula unit